The following is a PBE-GGA calculation of a relaxed AcAlInPt3 crystal, from Alexandria via LeMat-Bulk.

Values from the calculation:
Energy relative to the elements, eV/atom: -0.7368
Total magnetic moment, μB per formula unit: 0.00
Total energy, eV per atom: -5.522
Symmetry: Cmcm, No. 63

a = 7.932 Å, b = 7.932 Å, c = 5.851 Å
α = 90.00°, β = 90.00°, γ = 126.26°
Fractional coordinates of all 12 atoms:
Ac 0.210 0.790 0.750
Ac 0.790 0.210 0.250
Al 0.096 0.904 0.250
Al 0.904 0.096 0.750
In 0.453 0.547 0.250
In 0.547 0.453 0.750
Pt 0.200 0.200 0.000
Pt 0.200 0.200 0.500
Pt 0.264 0.736 0.250
Pt 0.736 0.264 0.750
Pt 0.800 0.800 0.000
Pt 0.800 0.800 0.500